Record 1
First-principles (PBE) data for crystalline NdSn3S6 at its relaxed geometry, as listed in Alexandria.

extended XYZ file:
```
20
Lattice="11.484 0.000 0.000 0.000 3.921 0.000 -5.521 0.000 11.083" Properties=species:S:1:pos:R:3 pbc="T T T"
Nd -0.588 0.980 4.744
Nd 6.550 2.941 6.340
Sn 1.546 2.941 0.008
Sn -1.806 0.980 8.423
Sn 3.550 0.980 3.829
Sn 2.413 2.941 7.254
Sn 7.769 2.941 2.660
Sn 4.416 0.980 11.075
S -1.210 2.941 2.723
S -1.979 2.941 6.517
S 2.068 0.980 1.646
S -1.490 2.941 10.102
S 1.606 2.941 4.723
S 0.672 0.980 7.548
S 5.290 2.941 3.536
S 4.357 0.980 6.360
S 7.453 0.980 0.981
S 3.895 2.941 9.438
S 7.942 0.980 4.567
S 7.172 0.980 8.360
```

Calculated values
Fermi-level density of states = 0.333 states/eV/atom
Space-group type = P2_1/m
Uncorrected formation energy = -73.0 kJ per mole of atoms
Size of the total moment = 0.0000 μB/atom
Theoretical density = 4610 kg/m3


Record 2
First-principles (PBE) data for crystalline Nd3Mg2Cu3 at its relaxed geometry, as listed in Alexandria.

extended XYZ file:
```
8
Lattice="-1.732 2.594 10.297 1.732 -2.594 10.297 1.732 2.594 -10.297" Properties=species:S:1:pos:R:3 pbc="T T T"
Nd 0.000 0.000 0.000
Nd 1.732 0.000 7.777
Nd 0.000 2.594 2.520
Mg 0.000 0.000 4.722
Mg 0.000 0.000 15.871
Cu 1.732 0.000 2.558
Cu 0.000 0.000 10.297
Cu 0.000 2.594 7.738
```

Calculated values
Fermi-level density of states = 0.609 states/eV/atom
Raw total energy = -30.58 eV per cell
Space-group type = Immm
Size of the total moment = 0.0000 μB/atom
Theoretical density = 6028 kg/m3


Record 3
First-principles (PBE) data for crystalline BeSiTc2Ag at its relaxed geometry, as listed in Alexandria.

extended XYZ file:
```
5
Lattice="4.232 0.000 0.000 0.000 4.232 0.000 0.000 0.000 3.963" Properties=species:S:1:pos:R:3 pbc="T T T"
Be 0.000 0.000 0.000
Si 0.000 0.000 1.982
Tc 0.000 2.116 0.000
Tc 2.116 0.000 0.000
Ag 2.116 2.116 1.982
```

Calculated values
Fermi-level density of states = 0.934 states/eV/atom
Space-group type = P4/mmm
Uncorrected formation energy = 65.5 kJ per mole of atoms
Size of the total moment = 0.0000 μB/atom
Theoretical density = 7977 kg/m3


Record 4
First-principles (PBE) data for crystalline PdCN2O at its relaxed geometry, as listed in Alexandria.

extended XYZ file:
```
5
Lattice="3.823 0.000 0.000 0.000 3.823 0.000 0.000 0.000 4.106" Properties=species:S:1:pos:R:3 pbc="T T T"
Pd 0.000 0.000 0.000
C 1.912 1.912 2.053
N 0.000 1.912 0.000
N 1.912 0.000 0.000
O 0.000 0.000 2.053
```

Calculated values
Fermi-level density of states = 0.996 states/eV/atom
Space-group type = P4/mmm
Uncorrected formation energy = 275.5 kJ per mole of atoms
Size of the total moment = 0.0001 μB/atom
Theoretical density = 4494 kg/m3


Record 5
First-principles (PBE) data for crystalline YMgTl at its relaxed geometry, as listed in Alexandria.

extended XYZ file:
```
12
Lattice="7.509 0.000 0.000 0.000 4.718 0.000 0.000 0.000 8.804" Properties=species:S:1:pos:R:3 pbc="T T T"
Y 0.138 1.180 1.723
Y 3.616 3.539 6.125
Y 3.893 1.180 2.679
Y 7.370 3.539 7.081
Mg 1.198 1.180 4.968
Mg 2.556 3.539 0.566
Mg 4.953 1.180 8.238
Mg 6.310 3.539 3.836
Tl 1.859 3.539 3.430
Tl 1.896 1.180 7.832
Tl 5.613 3.539 0.972
Tl 5.650 1.180 5.374
```

Calculated values
Fermi-level density of states = 0.339 states/eV/atom
Raw total energy = -45.16 eV per cell
Space-group type = Pnma
Size of the total moment = 0.0000 μB/atom
Theoretical density = 6763 kg/m3


Record 6
First-principles (PBE) data for crystalline MgIr3Cl at its relaxed geometry, as listed in Alexandria.

extended XYZ file:
```
5
Lattice="4.686 0.000 0.000 0.000 4.686 0.000 0.000 0.000 4.686" Properties=species:S:1:pos:R:3 pbc="T T T"
Mg 0.000 0.000 0.000
Ir 0.000 0.000 2.343
Ir 0.000 2.343 0.000
Ir 2.343 0.000 0.000
Cl 2.343 2.343 2.343
```

Calculated values
Fermi-level density of states = 1.109 states/eV/atom
Polymorph energy (0 for the lowest one) = 0.9140 eV per atom
Space-group type = Pm-3m
Uncorrected formation energy = 199.5 kJ per mole of atoms
Size of the total moment = 0.8368 μB/atom
Theoretical density = 10273 kg/m3


Record 7
First-principles (PBE) data for crystalline Pr4Dy5Ho at its relaxed geometry, as listed in Alexandria.

extended XYZ file:
```
10
Lattice="-5.361 5.361 3.002 5.361 -5.361 3.002 5.361 5.361 -3.002" Properties=species:S:1:pos:R:3 pbc="T T T"
Pr 3.465 0.000 0.000
Pr 7.257 0.000 0.000
Pr 0.000 3.465 0.000
Pr 0.000 7.257 0.000
Dy 3.343 3.343 -0.029
Dy 2.018 -2.018 2.973
Dy -2.018 2.018 2.973
Dy 2.018 2.018 2.973
Dy 0.000 0.000 4.550
Ho 0.000 0.000 1.404
```

Calculated values
Fermi-level density of states = 1.260 states/eV/atom
Polymorph energy (0 for the lowest one) = 0.0431 eV per atom
Space-group type = I4mm
Size of the total moment = 0.0000 μB/atom
Theoretical density = 7415 kg/m3


Record 8
First-principles (PBE) data for crystalline Li14Ag2Se9 at its relaxed geometry, as listed in Alexandria.

extended XYZ file:
```
25
Lattice="7.478 0.000 0.000 -3.739 6.476 0.000 0.000 0.000 10.319" Properties=species:S:1:pos:R:3 pbc="T T T"
Li 0.000 0.000 2.564
Li 0.000 0.000 7.755
Li -2.463 4.314 4.260
Li -1.212 2.296 0.954
Li 1.234 2.185 4.260
Li 2.510 0.024 6.059
Li -1.144 6.377 0.954
Li 1.382 2.198 9.365
Li 2.356 4.278 0.954
Li 4.883 0.098 9.365
Li 1.229 6.452 4.260
Li 2.504 4.290 6.059
Li 4.951 4.180 9.365
Li 6.202 2.162 6.059
Ag 0.000 4.317 7.725
Ag 3.739 2.159 2.594
Se 0.000 0.000 5.159
Se -1.142 2.110 8.677
Se -1.341 6.409 8.677
Se 1.257 2.044 1.642
Se 0.000 4.317 5.085
Se 3.739 2.159 5.234
Se 2.482 4.432 8.677
Se 5.079 0.066 1.642
Se 4.880 4.366 1.642
```

Calculated values
Fermi-level density of states = 0.577 states/eV/atom
Space-group type = P-3
Uncorrected formation energy = -96.9 kJ per mole of atoms
Size of the total moment = 0.0000 μB/atom
Theoretical density = 3402 kg/m3


What is the theoretical density in the second record? 6028 kg/m3